P:
Density functional theory data (PBE-GGA) for a geometry-optimized BeSbW2 structure.

Summary:
- theoretical density (g/cm3) = 11.90
- size of the total moment (μB per formula unit) = 0.00
- space group = No. 122

abc: 3.8284 3.8284 9.8664
angles: 78.81 78.81 90.00
Closest atoms and distances in Å follow each position.
Atoms (fractional coordinates):
Sb 0.0000 0.0000 0.0000  4 Be 2.71, 4 W 2.78
Sb 0.7500 0.2500 0.5000  4 Be 2.71, 4 W 2.78
W 0.5915 0.1250 0.2500  2 W 2.53, 2 Be 2.69, 2 Sb 2.78
W 0.1585 0.6250 0.2500  2 W 2.53, 2 Be 2.69, 2 Sb 2.78
W 0.3750 0.4085 0.7500  2 W 2.53, 2 Be 2.69, 2 Sb 2.78
W 0.8750 0.8415 0.7500  2 W 2.53, 2 Be 2.69, 2 Sb 2.78
Be 0.5000 0.5000 0.0000  4 W 2.69, 4 Sb 2.71
Be 0.2500 0.7500 0.5000  4 W 2.69, 4 Sb 2.71



Q:
Density functional theory data (PBE-GGA) for a geometry-optimized BeSbW2 structure.

Summary:
- theoretical density (g/cm3) = 13.20
- size of the total moment (μB per formula unit) = 0.00
- space group = No. 225

abc: 4.4597 4.4597 4.4597
angles: 60.00 60.00 60.00
Closest atoms and distances in Å follow each position.
Atoms (fractional coordinates):
Sb 0.5000 0.5000 0.5000  8 W 2.73
W 0.2500 0.2500 0.2500  4 Sb 2.73, 4 Be 2.73
W 0.7500 0.7500 0.7500  4 Sb 2.73, 4 Be 2.73
Be 0.0000 0.0000 0.0000  8 W 2.73



Computed relative energies in units of meV per atom: P 0; Q 32



P:
Density functional theory data (PBE-GGA) for a geometry-optimized BeSbW2 structure.

Summary:
- theoretical density (g/cm3) = 13.08
- size of the total moment (μB per formula unit) = 0.00
- space group = No. 123

abc: 3.2195 3.2200 6.1039
angles: 90.00 90.00 90.00
Closest atoms and distances in Å follow each position.
Atoms (fractional coordinates):
Sb 0.5000 0.5000 0.7500  8 W 2.91, 2 Be 3.05, 4 Sb 3.22
W 0.0000 0.0000 0.0462  1 W 2.49, 4 Be 2.59
W 0.0000 0.0000 0.4538  1 W 2.49, 4 Be 2.59
Be 0.5000 0.5000 0.2500  8 W 2.59



Q:
Density functional theory data (PBE-GGA) for a geometry-optimized BeSbW2 structure.

Summary:
- theoretical density (g/cm3) = 12.74
- size of the total moment (μB per formula unit) = 0.00
- space group = No. 10

abc: 4.2874 2.8924 5.3024
angles: 81.14 90.00 90.00
Closest atoms and distances in Å follow each position.
Atoms (fractional coordinates):
Sb 0.5000 0.7500 0.7500  4 W 2.74, 2 Be 2.82, 2 Sb 2.89
W 0.0000 0.9865 0.0240  1 W 2.57, 2 Be 2.63, 2 Sb 2.74
W 0.0000 0.5135 0.4760  1 W 2.57, 2 Be 2.63, 2 Sb 2.74
Be 0.5000 0.2500 0.2500  4 W 2.63, 2 Sb 2.82, 2 Be 2.89



R:
Density functional theory data (PBE-GGA) for a geometry-optimized BeSbW2 structure.

Summary:
- theoretical density (g/cm3) = 13.05
- size of the total moment (μB per formula unit) = 0.00
- space group = No. 99

abc: 3.2271 3.2271 6.0894
angles: 90.00 90.00 90.00
Closest atoms and distances in Å follow each position.
Atoms (fractional coordinates):
Sb 0.5000 0.5000 0.7425  5 W 2.80-2.88, 4 Be 2.91
W 0.0000 0.0000 0.0301  1 Be 2.53, 4 W 2.75
W 0.5000 0.5000 0.2821  4 Be 2.49, 4 W 2.75
Be 0.0000 0.0000 0.4452  5 W 2.49-2.53



S:
Density functional theory data (PBE-GGA) for a geometry-optimized BeSbW2 structure.

Summary:
- theoretical density (g/cm3) = 12.73
- size of the total moment (μB per formula unit) = 0.00
- space group = No. 12

abc: 5.1456 5.1456 2.8980
angles: 79.00 79.00 115.01
Closest atoms and distances in Å follow each position.
Atoms (fractional coordinates):
Sb 0.0000 0.5000 0.5000  4 W 2.70, 2 Be 2.76, 2 Sb 2.90
W 0.0000 0.0000 0.0000  2 Sb 2.70, 2 Be 2.70, 4 W 2.76-2.90
W 0.5000 0.5000 0.0000  2 Be 2.70, 2 Sb 2.70, 4 W 2.76-2.90
Be 0.5000 0.0000 0.5000  4 W 2.70, 2 Sb 2.76, 2 Be 2.90



Computed relative energies in units of meV per atom: P 355; Q 425; R 0; S 495



P:
Density functional theory data (PBE-GGA) for a geometry-optimized BeSbW3 structure.

Summary:
- theoretical density (g/cm3) = 14.07
- size of the total moment (μB per formula unit) = 0.00
- space group = No. 221

abc: 4.3178 4.3178 4.3178
angles: 90.00 90.00 90.00
Closest atoms and distances in Å follow each position.
Atoms (fractional coordinates):
Sb 0.5000 0.5000 0.5000  12 W 3.05
W 0.0000 0.5000 0.0000  2 Be 2.16
W 0.0000 0.0000 0.5000  2 Be 2.16
W 0.5000 0.0000 0.0000  2 Be 2.16
Be 0.0000 0.0000 0.0000  6 W 2.16



Q:
Density functional theory data (PBE-GGA) for a geometry-optimized BeSbW3 structure.

Summary:
- theoretical density (g/cm3) = 9.82
- size of the total moment (μB per formula unit) = 0.00
- space group = No. 221

abc: 4.8689 4.8689 4.8689
angles: 90.00 90.00 90.00
Closest atoms and distances in Å follow each position.
Atoms (fractional coordinates):
Sb 0.0000 0.0000 0.0000  6 W 2.43
W 0.0000 0.5000 0.0000  2 Sb 2.43
W 0.0000 0.0000 0.5000  2 Sb 2.43
W 0.5000 0.0000 0.0000  2 Sb 2.43
Be 0.5000 0.5000 0.5000  12 W 3.44



Computed relative energies in units of meV per atom: P 0; Q 1955



P:
Density functional theory data (PBE-GGA) for a geometry-optimized Y2BeSb structure.

Summary:
- theoretical density (g/cm3) = 5.17
- size of the total moment (μB per formula unit) = 0.00
- space group = No. 35

abc: 3.5551 3.5551 7.9918
angles: 90.00 90.00 101.18
Closest atoms and distances in Å follow each position.
Atoms (fractional coordinates):
Y 0.0000 0.0000 0.9605  4 Sb 3.11-3.48, 1 Be 3.32
Y 0.5000 0.5000 0.3020  2 Be 2.98, 1 Sb 3.12
Sb 0.5000 0.5000 0.6923  2 Be 2.54
Be 0.0000 0.0000 0.5452  2 Sb 2.54



Q:
Density functional theory data (PBE-GGA) for a geometry-optimized Y2BeSb structure.

Summary:
- theoretical density (g/cm3) = 5.40
- size of the total moment (μB per formula unit) = 0.29
- space group = No. 123

abc: 3.7956 3.7956 6.5847
angles: 90.00 90.00 90.01
Closest atoms and distances in Å follow each position.
Atoms (fractional coordinates):
Y 0.0000 0.0000 0.0094  4 Be 3.12, 2 Y 3.17-3.42, 4 Sb 3.18
Y 0.0000 0.0000 0.4906  4 Be 3.12, 2 Y 3.17-3.42, 4 Sb 3.18
Sb 0.5000 0.5000 0.7500  8 Y 3.18, 2 Be 3.29
Be 0.5000 0.5000 0.2500  8 Y 3.12, 2 Sb 3.29



R:
Density functional theory data (PBE-GGA) for a geometry-optimized Y2BeSb structure.

Summary:
- theoretical density (g/cm3) = 5.07
- size of the total moment (μB per formula unit) = 0.00
- space group = No. 160

abc: 7.5850 7.5850 7.5850
angles: 30.73 30.73 30.73
Closest atoms and distances in Å follow each position.
Atoms (fractional coordinates):
Y 0.0270 0.0270 0.0270  3 Be 2.95, 3 Sb 3.25
Y 0.2300 0.2300 0.2300  3 Sb 3.15, 3 Be 3.47
Sb 0.7986 0.7986 0.7986  3 Be 2.36
Be 0.4444 0.4444 0.4444  3 Sb 2.36



Computed relative energies in units of meV per atom: P 242; Q 0; R 13



P:
Density functional theory data (PBE-GGA) for a geometry-optimized Y2BeSb structure.

Summary:
- theoretical density (g/cm3) = 5.22
- size of the total moment (μB per formula unit) = 0.00
- space group = No. 99

abc: 3.5229 3.5229 7.9089
angles: 90.00 90.00 90.00
Closest atoms and distances in Å follow each position.
Atoms (fractional coordinates):
Y 0.0000 0.0000 0.9616  1 Be 3.26, 4 Sb 3.30, 4 Y 3.52
Y 0.5000 0.5000 0.3011  1 Sb 3.06, 4 Be 3.17
Sb 0.5000 0.5000 0.6884  4 Be 2.72
Be 0.0000 0.0000 0.5489  4 Sb 2.72



Q:
Density functional theory data (PBE-GGA) for a geometry-optimized Y2BeSb structure.

Summary:
- theoretical density (g/cm3) = 4.82
- size of the total moment (μB per formula unit) = 0.00
- space group = No. 166

abc: 7.2538 7.2538 7.2538
angles: 33.97 33.97 33.97
Closest atoms and distances in Å follow each position.
Atoms (fractional coordinates):
Y 0.9947 0.9947 0.9947  3 Be 2.92, 3 Sb 3.05
Y 0.5053 0.5053 0.5053  3 Be 2.92, 3 Sb 3.05
Sb 0.7500 0.7500 0.7500  6 Y 3.05
Be 0.2500 0.2500 0.2500  6 Y 2.92



R:
Density functional theory data (PBE-GGA) for a geometry-optimized Y2BeSb structure.

Summary:
- theoretical density (g/cm3) = 4.96
- size of the total moment (μB per formula unit) = 0.00
- space group = No. 122

abc: 7.7393 7.7393 6.4697
angles: 53.27 53.27 90.00
Closest atoms and distances in Å follow each position.
Atoms (fractional coordinates):
Y 0.5930 0.1250 0.2500  2 Be 2.71
Y 0.1570 0.6250 0.2500  2 Be 2.71
Y 0.3750 0.4070 0.7500  2 Be 2.71
Y 0.8750 0.8430 0.7500  2 Be 2.71
Sb 0.0000 0.0000 0.0000  4 Y 3.04
Sb 0.7500 0.2500 0.5000  4 Y 3.04
Be 0.5000 0.5000 0.0000  4 Y 2.71
Be 0.2500 0.7500 0.5000  4 Y 2.71



Computed relative energies in units of meV per atom: P 201; Q 0; R 162



P:
Density functional theory data (PBE-GGA) for a geometry-optimized Y2BeSb structure.

Summary:
- theoretical density (g/cm3) = 5.45
- size of the total moment (μB per formula unit) = 0.00
- space group = No. 139

abc: 5.3754 5.3754 5.3754
angles: 127.84 127.84 76.88
Closest atoms and distances in Å follow each position.
Atoms (fractional coordinates):
Y 0.0000 0.0000 0.0000  4 Sb 3.16, 4 Be 3.16, 4 Y 3.34
Y 0.5000 0.5000 0.0000  4 Sb 3.16, 4 Be 3.16, 4 Y 3.34
Sb 0.7500 0.2500 0.5000  8 Y 3.16, 4 Be 3.34
Be 0.2500 0.7500 0.5000  8 Y 3.16, 4 Sb 3.34



Q:
Density functional theory data (PBE-GGA) for a geometry-optimized Y2BeSb structure.

Summary:
- theoretical density (g/cm3) = 5.38
- size of the total moment (μB per formula unit) = 0.00
- space group = No. 216

abc: 5.1273 5.1273 5.1273
angles: 60.00 60.00 60.00
Closest atoms and distances in Å follow each position.
Atoms (fractional coordinates):
Y 0.0000 0.0000 0.0000  4 Sb 3.14, 4 Y 3.14
Y 0.7500 0.7500 0.7500  4 Be 3.14, 4 Y 3.14
Sb 0.2500 0.2500 0.2500  4 Be 3.14, 4 Y 3.14
Be 0.5000 0.5000 0.5000  4 Y 3.14, 4 Sb 3.14



Computed relative energies in units of meV per atom: P 0; Q 569



P:
Density functional theory data (PBE-GGA) for a geometry-optimized Y2BeSb structure.

Summary:
- theoretical density (g/cm3) = 5.36
- size of the total moment (μB per formula unit) = 0.00
- space group = No. 225

abc: 5.1324 5.1324 5.1324
angles: 60.00 60.00 60.00
Closest atoms and distances in Å follow each position.
Atoms (fractional coordinates):
Y 0.2500 0.2500 0.2500  4 Sb 3.14, 4 Be 3.14
Y 0.7500 0.7500 0.7500  4 Sb 3.14, 4 Be 3.14
Sb 0.5000 0.5000 0.5000  8 Y 3.14
Be 0.0000 0.0000 0.0000  8 Y 3.14



Q:
Density functional theory data (PBE-GGA) for a geometry-optimized Y2BeSb structure.

Summary:
- theoretical density (g/cm3) = 5.34
- size of the total moment (μB per formula unit) = 0.00
- space group = No. 38

abc: 4.0095 4.3569 5.9045
angles: 68.36 90.00 90.00
Closest atoms and distances in Å follow each position.
Atoms (fractional coordinates):
Y 0.0000 0.9737 0.9277  1 Be 2.96, 4 Sb 3.10
Y 0.5000 0.2660 0.3430  4 Be 3.04, 3 Sb 3.17-3.19
Sb 0.5000 0.5568 0.7616  2 Be 2.57
Be 0.0000 0.7035 0.4677  2 Sb 2.57



R:
Density functional theory data (PBE-GGA) for a geometry-optimized Y2BeSb structure.

Summary:
- theoretical density (g/cm3) = 5.27
- size of the total moment (μB per formula unit) = 0.00
- space group = No. 119

abc: 6.1008 6.1008 6.1008
angles: 138.90 138.90 59.53
Closest atoms and distances in Å follow each position.
Atoms (fractional coordinates):
Y 0.0000 0.0000 0.0000  4 Be 3.03
Y 0.2500 0.7500 0.5000  4 Sb 3.03
Sb 0.7500 0.2500 0.5000  4 Y 3.03
Be 0.5000 0.5000 0.0000  4 Y 3.03



Computed relative energies in units of meV per atom: P 308; Q 0; R 278



P:
Density functional theory data (PBE-GGA) for a geometry-optimized YBeSb structure.

Summary:
- theoretical density (g/cm3) = 4.88
- size of the total moment (μB per formula unit) = 0.00
- space group = No. 216

abc: 4.7295 4.7295 4.7295
angles: 60.00 60.00 60.00
Closest atoms and distances in Å follow each position.
Atoms (fractional coordinates):
Y 0.0000 0.0000 0.0000  4 Sb 2.90
Sb 0.2500 0.2500 0.2500  4 Be 2.90, 4 Y 2.90
Be 0.5000 0.5000 0.5000  4 Sb 2.90



Q:
Density functional theory data (PBE-GGA) for a geometry-optimized YBeSb structure.

Summary:
- theoretical density (g/cm3) = 5.65
- size of the total moment (μB per formula unit) = 0.00
- space group = No. 107

abc: 5.7901 5.7901 5.7901
angles: 144.66 144.66 50.84
Closest atoms and distances in Å follow each position.
Atoms (fractional coordinates):
Y 0.6600 0.6600 0.0000  5 Sb 3.06-3.30, 5 Be 3.17-3.27
Sb 0.3677 0.3677 0.0000  4 Be 2.72
Be 0.9723 0.9723 0.0000  4 Sb 2.72



Computed relative energies in units of meV per atom: P 317; Q 0